# 1
This record from the Alexandria database describes an optimized crystal structure of LaMg2Mo. The functional is GGA-PBE.

It has space group C2/m (No. 12), with a = 5.688 Å, b = 10.891 Å, c = 3.094 Å, α = 90.00°, β = 110.33° and γ = 90.00°. The asymmetric unit holds La at (0.000, 0.000, 0.000), Mg at (0.250, 0.250, 0.500) and Mo at (0.000, 0.500, 0.000).

Its formation energy is 444.8 meV per atom. The total energy is -4.2921 eV/atom. The energy above the most stable polymorph in this dataset is 0.147 eV/atom. The value obtained for the size of the total moment is 0.00 μB/cell. The value obtained for the density of states at the Fermi level is 8.751 states/eV per cell.

# 2
This record from the Alexandria database describes an optimized crystal structure of Pm2PaH. The functional is GGA-PBE.

It has space group R-3m (No. 166, hexagonal axes), with a = 3.3085 Å, b = 3.3085 Å, c = 28.8702 Å, α = 90.00°, β = 90.00° and γ = 120.00°. The asymmetric unit holds Pm at (0.0000, 0.0000, 0.1126), Pa at (0.0000, 0.0000, 0.0000) and H at (0.0000, 0.0000, 0.5000).

The total energy is -5.4587 eV/atom. The energy above the most stable polymorph in this dataset is 0.000 eV/atom. The value obtained for the size of the total moment is 0.00 μB/cell. The value obtained for the density of states at the Fermi level is 14.297 states/eV per cell.

# 3
This record from the Alexandria database describes an optimized crystal structure of ErTh2V. The functional is GGA-PBE.

It has space group R-3m (No. 166, hexagonal axes), with a = 3.3869 Å, b = 3.3869 Å, c = 34.2472 Å, α = 90.00°, β = 90.00° and γ = 120.00°. The asymmetric unit holds Er at (0.0000, 0.0000, 0.0000), Th at (0.0000, 0.0000, 0.4212) and V at (0.0000, 0.0000, 0.5000).

Its formation energy is 616.5 meV per atom. The total energy is -6.5138 eV/atom. The value obtained for the size of the total moment is 6.35 μB/cell. The value obtained for the density of states at the Fermi level is 17.851 states/eV per cell.

# 4
This record from the Alexandria database describes an optimized crystal structure of La8Os3PdI4. The functional is GGA-PBE.

It has space group R-3m (No. 166, hexagonal axes), with a = 8.5256 Å, b = 8.5256 Å, c = 24.7365 Å, α = 90.00°, β = 90.00° and γ = 120.00°. The asymmetric unit holds La at (0.0000, 0.0000, 0.2292), La at (0.0150, 0.5075, 0.7716), Os at (0.0000, 0.5000, 0.5000), Pd at (0.0000, 0.0000, 0.5000), I at (0.0000, 0.0000, 0.0000) and I at (0.0000, 0.5000, 0.0000).

The calculation puts the formation energy without anion corrections at -795.6 meV/atom. The total energy is -6.0770 eV/atom. The value obtained for the size of the total moment is 0.00 μB/cell. The value obtained for the density of states at the Fermi level is 24.410 states/eV per cell.

# 5
This record from the Alexandria database describes an optimized crystal structure of HoTlTcO6. The functional is GGA-PBE.

It has space group P312 (No. 149), with a = 5.5322 Å, b = 5.5322 Å, c = 4.7870 Å, α = 90.00°, β = 90.00° and γ = 120.00°. The asymmetric unit holds Ho at (0.0000, 0.0000, 0.0000), Tl at (0.6667, 0.3333, 0.5000), Tc at (0.3333, 0.6667, 0.0000) and O at (0.0536, 0.3735, 0.2278).

The calculation puts the formation energy without anion corrections at -1680.5 meV/atom. The total energy is -6.9093 eV/atom. The value obtained for the size of the total moment is 0.00 μB/cell. The value obtained for the density of states at the Fermi level is 2.986 states/eV per cell.